VASP calculation (PBE) on NaNi2Sn2 after structural relaxation.

The structure in POSCAR format:
```
NaNi2Sn2
1.0
4.558 0.000 0.000
0.000 4.558 0.000
2.279 2.279 4.862
Ni Sn Na
2 2 1
direct
0.379 0.379 0.242 Ni
0.621 0.621 0.758 Ni
0.750 0.250 0.500 Sn
0.250 0.750 0.500 Sn
0.000 0.000 0.000 Na
```

Calculated values
* crystal system: tetragonal
* energy relative to the lowest polymorph listed for this composition: 89 meV per atom
* size of the total moment: 0.0 μB/cell

***

VASP calculation (PBE) on NaNi3Sn5 after structural relaxation.

The structure in POSCAR format:
```
NaNi3Sn5
1.0
7.209 -0.002 0.469
1.972 6.934 0.469
3.296 2.489 8.510
Na Ni Sn
2 6 10
direct
0.113 0.113 0.680 Na
0.887 0.887 0.320 Na
0.676 0.676 0.835 Ni
0.634 0.634 0.345 Ni
0.000 0.000 0.000 Ni
0.000 0.000 0.500 Ni
0.324 0.324 0.165 Ni
0.366 0.366 0.655 Ni
0.939 0.369 0.332 Sn
0.289 0.711 0.000 Sn
0.768 0.768 0.029 Sn
0.411 0.411 0.361 Sn
0.589 0.589 0.639 Sn
0.232 0.232 0.971 Sn
0.369 0.939 0.332 Sn
0.711 0.289 0.000 Sn
0.061 0.631 0.668 Sn
0.631 0.061 0.668 Sn
```

Calculated values
* crystal system: monoclinic
* energy: -4.36 eV per atom
* size of the total moment: 0.0 μB/cell

***

VASP calculation (PBE) on NaNi2Sn after structural relaxation.

The structure in POSCAR format:
```
NaNi2Sn
1.0
-2.825 -5.210 3.998
5.134 -4.466 -2.192
2.780 -4.042 3.089
Ni Sn Na
4 2 2
direct
0.653 0.125 0.250 Ni
0.097 0.625 0.250 Ni
0.375 0.347 0.750 Ni
0.875 0.903 0.750 Ni
0.000 0.000 0.000 Sn
0.750 0.250 0.500 Sn
0.500 0.500 0.000 Na
0.250 0.750 0.500 Na
```

Calculated values
* crystal system: tetragonal
* energy: -3.81 eV per atom
* size of the total moment: 0.0 μB/cell

***

VASP calculation (PBE) on Na3Ni2Sn7 after structural relaxation.

The structure in POSCAR format:
```
Na3Ni2Sn7
1.0
-2.687 3.218 1.985
-4.301 -3.822 0.375
6.241 -1.119 10.265
Na Ni Sn
3 2 7
direct
0.500 0.500 0.000 Na
0.500 0.704 0.391 Na
0.500 0.296 0.609 Na
0.000 0.679 0.809 Ni
0.000 0.321 0.191 Ni
0.000 0.241 0.793 Sn
0.000 0.760 0.604 Sn
0.000 0.000 0.000 Sn
0.000 0.759 0.207 Sn
0.500 0.141 0.205 Sn
0.500 0.859 0.795 Sn
0.000 0.240 0.396 Sn
```

Calculated values
* crystal system: monoclinic
* energy: -3.72 eV per atom
* size of the total moment: 0.0 μB/cell

***

VASP calculation (PBE) on NaNiSn2 after structural relaxation.

The structure in POSCAR format:
```
NaNiSn2
1.0
5.393 0.000 0.000
0.000 5.393 0.000
2.697 2.697 8.133
Ni Sn Na
2 4 2
direct
0.000 0.000 0.000 Ni
0.750 0.250 0.500 Ni
0.766 0.125 0.250 Sn
0.984 0.625 0.250 Sn
0.375 0.234 0.750 Sn
0.875 0.016 0.750 Sn
0.500 0.500 0.000 Na
0.250 0.750 0.500 Na
```

Calculated values
* crystal system: tetragonal
* energy: -3.61 eV per atom
* size of the total moment: 0.0 μB/cell

***

VASP calculation (PBE) on Na2NiSn after structural relaxation.

The structure in POSCAR format:
```
Na2NiSn
1.0
9.413 0.000 0.000
0.000 9.413 0.000
4.706 4.706 2.454
Ni Sn Na
2 2 4
direct
0.500 0.500 0.000 Ni
0.250 0.750 0.500 Ni
0.000 0.000 0.000 Sn
0.750 0.250 0.500 Sn
0.514 0.125 0.250 Na
0.236 0.625 0.250 Na
0.375 0.486 0.750 Na
0.875 0.764 0.750 Na
```

Calculated values
* crystal system: tetragonal
* energy: -2.92 eV per atom
* size of the total moment: 0.0 μB/cell

***

VASP calculation (PBE) on Na2NiSn6 after structural relaxation.

The structure in POSCAR format:
```
Na2NiSn6
1.0
-4.547 3.482 2.150
-4.359 -3.672 -3.276
-2.677 -5.272 2.873
Na Ni Sn
2 1 6
direct
0.823 0.667 0.667 Na
0.177 0.333 0.333 Na
0.000 0.000 0.000 Ni
0.292 0.338 0.831 Sn
0.293 0.832 0.832 Sn
0.292 0.831 0.338 Sn
0.708 0.662 0.169 Sn
0.707 0.168 0.168 Sn
0.708 0.169 0.662 Sn
```

Calculated values
* crystal system: trigonal
* energy: -3.74 eV per atom
* size of the total moment: 0.0 μB/cell

***

VASP calculation (PBE) on NaNiSn2 after structural relaxation.

The structure in POSCAR format:
```
NaNiSn2
1.0
-3.250 0.705 3.507
-1.645 4.452 0.911
-4.552 1.171 -1.124
Ni Sn Na
1 2 1
direct
0.500 0.500 0.500 Ni
0.250 0.250 0.250 Sn
0.750 0.750 0.750 Sn
0.000 0.000 0.000 Na
```

Calculated values
* crystal system: cubic
* energy: -3.73 eV per atom
* size of the total moment: 0.0 μB/cell

***

VASP calculation (PBE) on NaSrNiSn2 after structural relaxation.

The structure in POSCAR format:
```
NaSrNiSn2
1.0
5.026 0.000 0.000
0.000 5.026 0.000
0.000 0.000 5.227
Sr Na Sn Ni
1 1 2 1
direct
0.500 0.500 0.500 Sr
0.000 0.000 0.500 Na
0.000 0.500 0.000 Sn
0.500 0.000 0.000 Sn
0.000 0.000 0.000 Ni
```

Calculated values
* crystal system: tetragonal
* energy: -3.59 eV per atom
* size of the total moment: 0.0 μB/cell

***

VASP calculation (PBE) on NaSr2NiSn after structural relaxation.

The structure in POSCAR format:
```
NaSr2NiSn
1.0
-3.712 -2.272 3.954
-3.614 -1.644 -4.337
2.309 -4.292 -0.298
Sr Na Sn Ni
2 1 1 1
direct
0.000 0.500 0.000 Sr
0.500 0.000 0.000 Sr
0.500 0.500 0.500 Na
0.000 0.000 0.500 Sn
0.000 0.000 0.000 Ni
```

Calculated values
* crystal system: tetragonal
* energy: -3.11 eV per atom
* size of the total moment: 0.0 μB/cell

***

VASP calculation (PBE) on NaTlNiSn2 after structural relaxation.

The structure in POSCAR format:
```
NaTlNiSn2
1.0
-1.425 1.805 -4.352
-4.653 -1.251 1.005
-0.817 4.880 2.291
Ni Tl Sn Na
1 1 2 1
direct
0.000 0.000 0.000 Ni
0.500 0.500 0.500 Tl
0.000 0.500 0.000 Sn
0.500 0.000 0.000 Sn
0.000 0.000 0.500 Na
```

Calculated values
* crystal system: tetragonal
* energy relative to the lowest polymorph listed for this composition: 0 meV per atom
* size of the total moment: 0.0 μB/cell

***

VASP calculation (PBE) on NaTlNiSn2 after structural relaxation.

The structure in POSCAR format:
```
NaTlNiSn2
1.0
5.034 0.000 0.000
0.000 5.034 0.000
0.000 0.000 5.257
Ni Tl Sn Na
1 1 2 1
direct
0.000 0.000 0.000 Ni
0.000 0.000 0.500 Tl
0.000 0.500 0.000 Sn
0.500 0.000 0.000 Sn
0.500 0.500 0.500 Na
```

Calculated values
* crystal system: tetragonal
* energy relative to the lowest polymorph listed for this composition: 40 meV per atom
* size of the total moment: 0.0 μB/cell

***

VASP calculation (PBE) on Na2Sr4Ni after structural relaxation.

The structure in POSCAR format:
```
Na2Sr4Ni
1.0
-2.153 2.546 -2.644
-5.701 -5.250 -0.414
-1.535 6.792 7.791
Na Sr Ni
2 4 1
direct
0.500 0.254 0.579 Na
0.500 0.603 0.278 Na
0.500 0.177 0.929 Sr
0.000 0.774 0.620 Sr
0.500 0.680 0.929 Sr
0.000 0.083 0.237 Sr
0.000 0.929 0.929 Ni
```

Calculated values
* crystal system: orthorhombic
* energy relative to the lowest polymorph listed for this composition: 20 meV per atom
* size of the total moment: 0.0 μB/cell

***

VASP calculation (PBE) on NaSr3Ni after structural relaxation.

The structure in POSCAR format:
```
NaSr3Ni
1.0
-3.770 -3.203 0.747
4.685 -1.344 1.128
-2.556 7.592 19.652
Sr Na Ni
6 2 2
direct
0.000 0.000 0.250 Sr
0.000 0.000 0.750 Sr
0.333 0.667 0.886 Sr
0.333 0.667 0.614 Sr
0.667 0.333 0.386 Sr
0.667 0.333 0.114 Sr
0.000 0.000 0.000 Na
0.000 0.000 0.500 Na
0.333 0.667 0.750 Ni
0.667 0.333 0.250 Ni
```

Calculated values
* crystal system: hexagonal
* energy relative to the lowest polymorph listed for this composition: 268 meV per atom
* size of the total moment: 0.0 μB/cell

***

VASP calculation (PBE) on NaSr3Ni after structural relaxation.

The structure in POSCAR format:
```
NaSr3Ni
1.0
6.182 0.000 0.000
0.000 6.182 0.000
0.000 0.000 6.182
Sr Na Ni
3 1 1
direct
0.000 0.500 0.000 Sr
0.000 0.000 0.500 Sr
0.500 0.000 0.000 Sr
0.000 0.000 0.000 Na
0.500 0.500 0.500 Ni
```

Calculated values
* crystal system: cubic
* energy relative to the lowest polymorph listed for this composition: 915 meV per atom
* size of the total moment: 0.0 μB/cell

***

VASP calculation (PBE) on NaSr3Ni after structural relaxation.

The structure in POSCAR format:
```
NaSr3Ni
1.0
-9.962 -1.850 -1.437
0.951 -2.693 -3.108
0.277 -5.634 7.850
Na Sr Ni
2 6 2
direct
0.040 0.397 0.199 Na
0.175 0.174 0.754 Na
0.559 0.171 0.748 Sr
0.657 0.398 0.203 Sr
0.866 0.047 0.499 Sr
0.331 0.828 0.064 Sr
0.885 0.742 0.890 Sr
0.348 0.523 0.453 Sr
0.573 0.012 0.429 Ni
0.641 0.557 0.520 Ni
```

Calculated values
* crystal system: triclinic
* energy relative to the lowest polymorph listed for this composition: 7 meV per atom
* size of the total moment: 0.0 μB/cell

***

VASP calculation (PBE) on Na2SrNi2 after structural relaxation.

The structure in POSCAR format:
```
Na2SrNi2
1.0
-4.930 -4.352 2.997
-0.818 -3.421 -6.313
3.437 -3.059 1.212
Sr Na Ni
2 4 4
direct
0.000 0.000 0.000 Sr
0.500 0.500 0.000 Sr
0.153 0.653 0.500 Na
0.653 0.847 0.500 Na
0.847 0.347 0.500 Na
0.347 0.153 0.500 Na
0.388 0.888 0.000 Ni
0.888 0.612 0.000 Ni
0.612 0.112 0.000 Ni
0.112 0.388 0.000 Ni
```

Calculated values
* crystal system: tetragonal
* energy relative to the lowest polymorph listed for this composition: 125 meV per atom
* size of the total moment: 0.0 μB/cell

***

VASP calculation (PBE) on NaSr3Ni after structural relaxation.

The structure in POSCAR format:
```
NaSr3Ni
1.0
7.487 0.000 -0.024
0.000 9.780 0.000
-2.274 0.000 5.431
Sr Na Ni
6 2 2
direct
0.745 0.548 0.873 Sr
0.255 0.452 0.127 Sr
0.745 0.952 0.873 Sr
0.255 0.048 0.127 Sr
0.882 0.250 0.441 Sr
0.118 0.750 0.559 Sr
0.462 0.250 0.729 Na
0.538 0.750 0.271 Na
0.916 0.250 0.958 Ni
0.084 0.750 0.042 Ni
```

Calculated values
* crystal system: monoclinic
* energy relative to the lowest polymorph listed for this composition: 54 meV per atom
* size of the total moment: 0.0 μB/cell

***

VASP calculation (PBE) on NaSr3Ni after structural relaxation.

The structure in POSCAR format:
```
NaSr3Ni
1.0
7.254 0.004 -0.007
-0.076 8.351 -0.007
2.256 0.086 6.896
Na Sr Ni
2 6 2
direct
0.780 0.453 0.140 Na
0.280 0.453 0.640 Na
0.784 0.198 0.637 Sr
0.777 0.709 0.644 Sr
0.284 0.198 0.137 Sr
0.280 0.954 0.640 Sr
0.276 0.709 0.143 Sr
0.780 0.954 0.140 Sr
0.030 0.954 0.390 Ni
0.530 0.954 0.890 Ni
```

Calculated values
* crystal system: monoclinic
* energy relative to the lowest polymorph listed for this composition: 25 meV per atom
* size of the total moment: 0.0 μB/cell

***

VASP calculation (PBE) on NaSr3Ni after structural relaxation.

The structure in POSCAR format:
```
NaSr3Ni
1.0
3.559 -9.743 0.000
3.559 9.743 0.000
0.000 0.000 7.346
Sr Na Ni
6 2 2
direct
0.097 0.418 0.250 Sr
0.582 0.903 0.250 Sr
0.418 0.097 0.750 Sr
0.903 0.582 0.750 Sr
0.000 0.000 0.000 Sr
0.000 0.000 0.500 Sr
0.166 0.834 0.250 Na
0.834 0.166 0.750 Na
0.456 0.544 0.250 Ni
0.544 0.456 0.750 Ni
```

Calculated values
* crystal system: orthorhombic
* energy relative to the lowest polymorph listed for this composition: 645 meV per atom
* size of the total moment: 0.0 μB/cell